The following is a PBE calculation of a geometry-optimized Pu structure, from OQMD via LeMat-Bulk.

Cell: 3.3164 3.5384 5.2409 Å, 90.00 90.00 62.05°
Atoms (fractional coordinates):
Pu (0.8560, 0.2881, 0.2500)
Pu (0.1440, 0.7119, 0.7500)

**Energy relative to the elements**: 0.15 eV per atom
**Energy above the most stable polymorph in this dataset**: 151.5 meV/atom